Entry 1:
A geometry-optimized ZrCdInCo structure. Source: OQMD via LeMat-Bulk, functional GGA-PBE.

Computed properties:
E above lowest polymorph = 126 meV/atom
Mass density = 8.5 g/cm³

Unit cell a=6.6526 b=6.6526 c=6.6526 alpha=90.00 beta=90.00 gamma=90.00
Space group F-43m (No. 216)
Inequivalent atoms, fractional coordinates:
Zr 0.0000 0.0000 0.0000 (multiplicity 4)
Cd 0.2500 0.2500 0.7500 (multiplicity 4)
In 0.2500 0.2500 0.2500 (multiplicity 4)
Co 0.0000 0.0000 0.5000 (multiplicity 4)



Entry 2:
A geometry-optimized LiCu2Sn structure. Source: OQMD via LeMat-Bulk, functional GGA-PBE.

Computed properties:
Final energy = -3.46 eV per atom
Mass density = 7.3 g/cm³

Unit cell a=6.1195 b=6.1195 c=6.1195 alpha=90.00 beta=90.00 gamma=90.00
Space group F-43m (No. 216)
Inequivalent atoms, fractional coordinates:
Li 0.0000 0.0000 0.0000 (multiplicity 4)
Cu 0.0000 0.0000 0.5000 (multiplicity 4)
Cu 0.2500 0.2500 0.2500 (multiplicity 4)
Sn 0.2500 0.2500 0.7500 (multiplicity 4)



Entry 3:
A geometry-optimized CoReHgGe structure. Source: OQMD via LeMat-Bulk, functional GGA-PBE.

Computed properties:
E above lowest polymorph = 0 meV/atom
Mass density = 14.1 g/cm³

Unit cell a=6.2526 b=6.2526 c=6.2526 alpha=90.00 beta=90.00 gamma=90.00
Space group F-43m (No. 216)
Inequivalent atoms, fractional coordinates:
Co 0.0000 0.0000 0.0000 (multiplicity 4)
Re 0.0000 0.0000 0.5000 (multiplicity 4)
Hg 0.2500 0.2500 0.2500 (multiplicity 4)
Ge 0.2500 0.2500 0.7500 (multiplicity 4)



Entry 4:
A geometry-optimized Ac2Hg2O5 structure. Source: OQMD via LeMat-Bulk, functional GGA-PBE.

Computed properties:
E above lowest polymorph = 0 meV/atom
Mass density = 10.6 g/cm³

Unit cell a=4.3979 b=4.3979 c=7.5556 alpha=90.00 beta=90.00 gamma=90.00
Space group P4/mmm (No. 123)
Inequivalent atoms, fractional coordinates:
Ac 0.0000 0.0000 0.0000 (multiplicity 1)
Ac 0.0000 0.0000 0.5000 (multiplicity 1)
Hg 0.5000 0.5000 0.2000 (multiplicity 2)
O 0.0000 0.5000 0.2153 (multiplicity 4)
O 0.5000 0.5000 0.5000 (multiplicity 1)



Entry 5:
A geometry-optimized Na3Ag3P2 structure. Source: OQMD via LeMat-Bulk, functional GGA-PBE.

Computed properties:
Final energy = -3.15 eV per atom
Mass density = 4.3 g/cm³

Unit cell a=5.6208 b=5.6208 c=19.4300 alpha=90.00 beta=90.00 gamma=120.00
Space group R-3m (No. 166, hexagonal axes)
Inequivalent atoms, fractional coordinates:
Na 0.0000 0.0000 0.0000 (multiplicity 3)
Na 0.0000 0.0000 0.4069 (multiplicity 6)
Ag 0.0000 0.5000 0.5000 (multiplicity 9)
P 0.0000 0.0000 0.2625 (multiplicity 6)



Entry 6:
A geometry-optimized Na2Ho2B2TeO10 structure. Source: OQMD via LeMat-Bulk, functional GGA-PBE.

Computed properties:
Final energy = -7.02 eV per atom
Mass density = 5.6 g/cm³

Unit cell a=6.2684 b=9.9042 c=6.6974 alpha=90.00 beta=104.06 gamma=90.00
Space group P2_1/c (No. 14)
Inequivalent atoms, fractional coordinates:
Na 0.0844 0.1100 0.1669 (multiplicity 4)
Ho 0.3736 0.6670 0.9773 (multiplicity 4)
B 0.1616 0.1007 0.6258 (multiplicity 4)
Te 0.5000 0.0000 0.0000 (multiplicity 2)
O 0.0202 0.6755 0.9499 (multiplicity 4)
O 0.2045 0.0622 0.8363 (multiplicity 4)
O 0.3008 0.0603 0.5080 (multiplicity 4)
O 0.3340 0.6165 0.6354 (multiplicity 4)
O 0.4902 0.1518 0.1779 (multiplicity 4)



no.,V (Å³/atom)
1,18.4
2,14.3
3,15.3
4,16.2
5,22.2
6,11.9